Record 1
This record from the Alexandria database describes LaDy6Y2 after structural relaxation. The functional is PBE.

Summary:
* uncorrected energy: -4.852 eV per atom
* DOS at the Fermi energy: 20.66 states/eV/cell
* total magnetic moment: 0.00 Bohr magnetons per cell
* energy relative to the lowest polymorph listed for this composition: 143 meV per atom
* energy relative to the elements: 200 meV/atom

a b c (Å): 6.0661 6.0661 15.3097
angles (deg): 101.00 101.00 32.97
Last column: nearest neighbours and their distance in Å.
Atoms (fractional coordinates):
La (0.0000, 0.0000, 0.0000)  2 La 3.44, 8 Dy 3.48-3.59
Dy (0.0389, 0.0389, 0.2336)  3 Y 3.43-3.56, 6 Dy 3.44-3.57, 1 La 3.51
Dy (0.2939, 0.2939, 0.1055)  1 Y 3.43, 6 Dy 3.44-3.62, 3 La 3.48-3.59
Dy (0.3741, 0.3741, 0.5617)  4 Y 3.43-3.57, 7 Dy 3.44-3.79
Dy (0.6259, 0.6259, 0.4383)  4 Y 3.43-3.57, 7 Dy 3.44-3.79
Dy (0.7061, 0.7061, 0.8945)  1 Y 3.43, 6 Dy 3.44-3.62, 3 La 3.48-3.59
Dy (0.9611, 0.9611, 0.7664)  3 Y 3.43-3.56, 6 Dy 3.44-3.57, 1 La 3.51
Y (0.3307, 0.3307, 0.3335)  8 Dy 3.43-3.57, 2 Y 3.44
Y (0.6693, 0.6693, 0.6665)  8 Dy 3.43-3.57, 2 Y 3.44

=====

Record 2
This record from the Alexandria database describes Tb3Ce2DyBi6 after structural relaxation. The functional is PBE.

Summary:
* uncorrected energy: -5.318 eV per atom
* DOS at the Fermi energy: 13.24 states/eV/cell
* total magnetic moment: 1.60 Bohr magnetons per cell
* energy relative to the elements: -848 meV/atom

a b c (Å): 10.1152 10.1152 9.0506
angles (deg): 102.89 102.89 25.89
Last column: nearest neighbours and their distance in Å.
Atoms (fractional coordinates):
Tb (0.0000, 0.0000, 0.0000)  6 Bi 3.18-3.21
Tb (0.3329, 0.3329, 0.6660)  6 Bi 3.17-3.20
Tb (0.6671, 0.6671, 0.3340)  6 Bi 3.17-3.20
Ce (0.3343, 0.3343, 0.1683)  6 Bi 3.21-3.24
Ce (0.6657, 0.6657, 0.8317)  6 Bi 3.21-3.24
Dy (0.0000, 0.0000, 0.5000)  6 Bi 3.19-3.20
Bi (0.1656, 0.1656, 0.0862)  3 Tb 3.18, 3 Ce 3.23-3.24
Bi (0.1660, 0.1660, 0.5790)  3 Tb 3.17-3.20, 1 Dy 3.19, 2 Ce 3.22
Bi (0.4983, 0.4983, 0.7484)  3 Tb 3.18-3.21, 2 Dy 3.20, 1 Ce 3.21
Bi (0.5017, 0.5017, 0.2516)  3 Tb 3.18-3.21, 2 Dy 3.20, 1 Ce 3.21
Bi (0.8340, 0.8340, 0.4210)  3 Tb 3.17-3.20, 1 Dy 3.19, 2 Ce 3.22
Bi (0.8344, 0.8344, 0.9138)  3 Tb 3.18, 3 Ce 3.23-3.24

=====

Record 3
This record from the Alexandria database describes CaTlZn after structural relaxation. The functional is PBE.

Summary:
* uncorrected energy: -1.930 eV per atom
* DOS at the Fermi energy: 1.73 states/eV/cell
* total magnetic moment: 0.00 Bohr magnetons per cell
* energy relative to the elements: -50 meV/atom

a b c (Å): 3.9373 4.2748 5.2146
angles (deg): 90.00 90.00 90.00
Last column: nearest neighbours and their distance in Å.
Atoms (fractional coordinates):
Ca (0.0000, 0.0000, 0.0000)  4 Zn 3.27, 4 Tl 3.37
Tl (0.0000, 0.5000, 0.5000)  4 Zn 2.91
Zn (0.5000, 0.0000, 0.5000)  4 Tl 2.91

=====

Record 4
This record from the Alexandria database describes BaSrPb2N after structural relaxation. The functional is PBE.

Summary:
* uncorrected energy: -3.844 eV per atom
* raw formation energy: 0.026 eV/atom
* DOS at the Fermi energy: 3.92 states/eV/cell
* total magnetic moment: 0.00 Bohr magnetons per cell

a b c (Å): 5.3926 5.3926 5.2727
angles (deg): 90.00 90.00 90.00
Last column: nearest neighbours and their distance in Å.
Atoms (fractional coordinates):
Ba (0.0000, 0.0000, 0.0000)  2 N 2.64
Sr (0.5000, 0.5000, 0.0000)  8 Pb 3.77, 4 Ba 3.81
Pb (0.0000, 0.5000, 0.5000)  2 N 2.70
Pb (0.5000, 0.0000, 0.5000)  2 N 2.70
N (0.0000, 0.0000, 0.5000)  2 Ba 2.64, 4 Pb 2.70

=====

Record 5
This record from the Alexandria database describes NdTh2ScBi5 after structural relaxation. The functional is PBE.

Summary:
* uncorrected energy: -4.846 eV per atom
* DOS at the Fermi energy: 6.34 states/eV/cell
* total magnetic moment: 0.00 Bohr magnetons per cell
* energy relative to the elements: 192 meV/atom

a b c (Å): 5.5814 5.5814 11.4371
angles (deg): 90.00 90.00 90.00
Last column: nearest neighbours and their distance in Å.
Atoms (fractional coordinates):
Nd (0.0000, 0.0000, 0.0000)  6 Bi 2.79-3.00
Th (0.5000, 0.5000, 0.1997)  5 Bi 3.43-3.61
Th (0.5000, 0.5000, 0.8003)  5 Bi 3.43-3.61
Sc (0.0000, 0.0000, 0.5000)  2 Bi 2.71
Bi (0.0000, 0.0000, 0.2627)  1 Sc 2.71, 1 Nd 3.00
Bi (0.0000, 0.0000, 0.7373)  1 Sc 2.71, 1 Nd 3.00
Bi (0.0000, 0.5000, 0.0000)  2 Nd 2.79
Bi (0.5000, 0.0000, 0.0000)  2 Nd 2.79
Bi (0.5000, 0.5000, 0.5000)  2 Th 3.43

=====

Record 6
This record from the Alexandria database describes TlNi2Cl after structural relaxation. The functional is PBE.

Summary:
* uncorrected energy: -3.451 eV per atom
* raw formation energy: 0.493 eV/atom
* DOS at the Fermi energy: 4.38 states/eV/cell
* total magnetic moment: 0.50 Bohr magnetons per cell
* energy relative to the lowest polymorph listed for this composition: 419 meV per atom

a b c (Å): 4.5340 4.5340 3.1930
angles (deg): 90.00 90.00 90.00
Last column: nearest neighbours and their distance in Å.
Atoms (fractional coordinates):
Tl (0.0000, 0.0000, 0.0000)  8 Ni 2.77
Ni (0.0000, 0.5000, 0.5000)  4 Cl 2.77, 4 Tl 2.77
Ni (0.5000, 0.0000, 0.5000)  4 Cl 2.77, 4 Tl 2.77
Cl (0.5000, 0.5000, 0.0000)  8 Ni 2.77

=====

> DOS at the Fermi energy of number 6 (TlNi2Cl)?

4.38 states/eV/cell